Density functional theory data (PBE) for crystalline MgZr3Cu4 at its relaxed geometry.

abc: 7.416 7.416 7.416
angles: 144.60 144.60 50.93
Fractional coordinates of all 8 atoms:
Mg  0.000  0.000  0.000
Zr  0.240  0.240  0.000
Zr  0.500  0.500  0.000
Zr  0.760  0.760  0.000
Cu  0.119  0.619  0.500
Cu  0.381  0.881  0.500
Cu  0.619  0.119  0.500
Cu  0.881  0.381  0.500

Output
**Raw total energy**: -44.63 eV for the cell shown
**E_form**: -0.125 eV per atom

---

Density functional theory data (PBE) for crystalline MgZr2Cu at its relaxed geometry.

abc: 5.294 5.294 5.294
angles: 133.00 133.00 68.65
Fractional coordinates of all 4 atoms:
Mg  0.000  0.000  0.000
Zr  0.250  0.750  0.500
Zr  0.750  0.250  0.500
Cu  0.500  0.500  0.000

Output
**Raw total energy**: -22.55 eV for the cell shown
**E_form**: 0.059 eV per atom

---

Density functional theory data (PBE) for crystalline Mg3ZrCu at its relaxed geometry.

abc: 5.615 5.615 5.615
angles: 90.00 90.00 90.00
Fractional coordinates of all 5 atoms:
Mg  0.000  0.000  0.500
Mg  0.000  0.500  0.000
Mg  0.500  0.000  0.000
Zr  0.000  0.000  0.000
Cu  0.500  0.500  0.500

Output
**Raw total energy**: -10.21 eV for the cell shown
**E_form**: 1.443 eV per atom
**Polymorph energy (0 for the lowest one)**: 1.124 eV per atom

---

Density functional theory data (PBE) for crystalline MgZr2Cu at its relaxed geometry.

abc: 4.255 4.255 4.303
angles: 90.00 90.00 90.00
Fractional coordinates of all 4 atoms:
Mg  0.000  0.000  0.000
Zr  0.000  0.500  0.500
Zr  0.500  0.000  0.500
Cu  0.500  0.500  0.000

Output
**Raw total energy**: -22.58 eV for the cell shown
**E_form**: 0.053 eV per atom

---

Density functional theory data (PBE) for crystalline Mg14ZrCu at its relaxed geometry.

abc: 6.340 6.340 10.010
angles: 90.00 90.00 120.00
Fractional coordinates of all 16 atoms:
Mg  0.000  0.000  0.239
Mg  0.000  0.000  0.761
Mg  0.013  0.506  0.256
Mg  0.013  0.506  0.744
Mg  0.328  0.164  0.500
Mg  0.344  0.172  0.000
Mg  0.494  0.506  0.256
Mg  0.494  0.506  0.744
Mg  0.494  0.987  0.256
Mg  0.494  0.987  0.744
Mg  0.828  0.172  0.000
Mg  0.828  0.656  0.000
Mg  0.836  0.164  0.500
Mg  0.836  0.672  0.500
Zr  0.333  0.667  0.000
Cu  0.333  0.667  0.500

Output
**Raw total energy**: -34.68 eV for the cell shown
**E_form**: 0.018 eV per atom
**Polymorph energy (0 for the lowest one)**: 0.000 eV per atom

---

Density functional theory data (PBE) for crystalline MgZr2Cu3 at its relaxed geometry.

abc: 4.560 4.560 11.258
angles: 90.00 90.00 120.00
Fractional coordinates of all 12 atoms:
Mg  0.333  0.667  0.164
Mg  0.667  0.333  0.836
Zr  0.000  0.000  0.000
Zr  0.000  0.000  0.500
Zr  0.333  0.667  0.675
Zr  0.667  0.333  0.325
Cu  0.000  0.000  0.248
Cu  0.000  0.000  0.752
Cu  0.333  0.667  0.414
Cu  0.333  0.667  0.921
Cu  0.667  0.333  0.079
Cu  0.667  0.333  0.586

Output
**Raw total energy**: -63.62 eV for the cell shown
**E_form**: -0.139 eV per atom

---

Density functional theory data (PBE) for crystalline Mg6ZrCu at its relaxed geometry.

abc: 4.879 6.400 6.400
angles: 56.61 90.00 90.00
Fractional coordinates of all 8 atoms:
Mg  0.000  0.000  0.000
Mg  0.000  0.500  0.987
Mg  0.000  0.987  0.500
Mg  0.500  0.147  0.641
Mg  0.500  0.155  0.155
Mg  0.500  0.641  0.147
Zr  0.500  0.631  0.631
Cu  0.000  0.498  0.498

Output
**Raw total energy**: -21.72 eV for the cell shown
**E_form**: 0.061 eV per atom
**Polymorph energy (0 for the lowest one)**: 0.000 eV per atom

---

Density functional theory data (PBE) for crystalline MgZr2Cu at its relaxed geometry.

abc: 5.352 5.352 5.352
angles: 134.10 134.10 66.93
Fractional coordinates of all 4 atoms:
Mg  0.000  0.000  0.000
Zr  0.250  0.750  0.500
Zr  0.500  0.500  0.000
Cu  0.750  0.250  0.500

Output
**Raw total energy**: -22.31 eV for the cell shown
**E_form**: 0.120 eV per atom

---

Density functional theory data (PBE) for crystalline Mg6ZrCu at its relaxed geometry.

abc: 4.879 6.472 6.472
angles: 54.81 90.00 90.00
Fractional coordinates of all 8 atoms:
Mg  0.000  0.000  0.000
Mg  0.000  0.469  0.469
Mg  0.000  0.497  0.993
Mg  0.000  0.993  0.497
Mg  0.500  0.346  0.847
Mg  0.500  0.847  0.346
Zr  0.500  0.848  0.848
Cu  0.500  0.313  0.313

Output
**Raw total energy**: -21.63 eV for the cell shown
**E_form**: 0.072 eV per atom
**Polymorph energy (0 for the lowest one)**: 0.011 eV per atom

---

Density functional theory data (PBE) for crystalline MgZr2Cu at its relaxed geometry.

abc: 5.766 5.766 5.766
angles: 147.76 128.83 61.78
Fractional coordinates of all 4 atoms:
Mg  0.000  0.000  0.000
Zr  0.288  0.788  0.500
Zr  0.556  0.556  0.000
Cu  0.789  0.289  0.500

Output
**Raw total energy**: -22.74 eV for the cell shown
**E_form**: 0.012 eV per atom

---

Density functional theory data (PBE) for crystalline MgZr2Cu at its relaxed geometry.

abc: 5.918 5.918 5.918
angles: 148.31 132.14 58.54
Fractional coordinates of all 4 atoms:
Mg  0.000  0.000  0.000
Zr  0.278  0.778  0.500
Zr  0.722  0.222  0.500
Cu  0.500  0.500  0.000

Output
**Raw total energy**: -22.61 eV for the cell shown
**E_form**: 0.044 eV per atom

---

Density functional theory data (PBE) for crystalline Mg14ZrCu at its relaxed geometry.

abc: 10.053 6.369 6.369
angles: 58.84 90.00 90.00
Fractional coordinates of all 16 atoms:
Mg  0.000  0.000  0.000
Mg  0.000  0.004  0.494
Mg  0.000  0.494  0.004
Mg  0.000  0.498  0.498
Mg  0.248  0.663  0.663
Mg  0.259  0.166  0.666
Mg  0.259  0.666  0.166
Mg  0.278  0.153  0.153
Mg  0.500  0.000  0.523
Mg  0.500  0.523  0.000
Mg  0.722  0.153  0.153
Mg  0.741  0.166  0.666
Mg  0.741  0.666  0.166
Mg  0.752  0.663  0.663
Zr  0.500  0.510  0.510
Cu  0.500  0.987  0.987

Output
**Raw total energy**: -34.57 eV for the cell shown
**E_form**: 0.025 eV per atom
**Polymorph energy (0 for the lowest one)**: 0.007 eV per atom